Entry 1:
Computed, not measured: Cd2CuOs after structural relaxation at the PBE-GGA level of DFT.

Geometry as extended XYZ:
```
4
Lattice="2.7641 0.0000 0.0000 0.0000 4.1629 0.0000 0.0000 0.0000 5.8499" Properties=species:S:1:pos:R:3 pbc="T T T"
Cu 0.0000 0.0000 3.0594
Cd 0.0000 0.0000 5.7316
Cd 1.3821 2.0815 1.5426
Os 1.3821 2.0815 4.2913
```

- energy relative to the lowest polymorph listed for this composition (meV/atom) = 83
- ΔE_f (eV/atom) = 0.48


Entry 2:
Computed, not measured: HoAlRu after structural relaxation at the PBE-GGA level of DFT.

Geometry as extended XYZ:
```
3
Lattice="3.5890 0.0000 0.0000 0.0000 4.3469 0.0000 0.0000 -2.1734 3.7645" Properties=species:S:1:pos:R:3 pbc="T T T"
Al 0.5976 0.0000 0.0000
Ho 2.3923 2.1734 1.2548
Ru 0.5992 0.0000 2.5097
```

- ΔE_f (eV/atom) = -0.46


Entry 3:
Computed, not measured: AlCdTe2 after structural relaxation at the PBE-GGA level of DFT.

Geometry as extended XYZ:
```
4
Lattice="-3.6478 -1.2699 4.4018 2.3681 0.0882 1.9879 0.0389 5.8388 1.7167" Properties=species:S:1:pos:R:3 pbc="T T T"
Al -1.2222 0.8468 3.1270
Te 1.1073 2.9354 1.7645
Te 0.0962 0.0281 0.0879
Cd -0.0186 3.8103 4.9794
```

- energy relative to the lowest polymorph listed for this composition (meV/atom) = 510